No. 1
Material: Ca4Al3Cu2
Method: DFT, GGA-PBE
State: relaxed

```
data_Ca4Al3Cu2
_symmetry_space_group_name_H-M 'P 1'
_symmetry_Int_Tables_number 1
_symmetry_space_group_name_Hall 'P 1'
_cell_length_a 8.283
_cell_length_b 8.283
_cell_length_c 7.404
_cell_angle_alpha 108.17
_cell_angle_beta 108.17
_cell_angle_gamma 27.34
loop_
_atom_site_label
_atom_site_type_symbol
_atom_site_fract_x
_atom_site_fract_y
_atom_site_fract_z
Ca1 Ca 0.078 0.078 0.376
Ca2 Ca 0.266 0.266 0.805
Ca3 Ca 0.734 0.734 0.195
Ca4 Ca 0.922 0.922 0.624
Al1 Al 0.406 0.406 0.259
Al2 Al 0.500 0.500 0.000
Al3 Al 0.594 0.594 0.741
Cu1 Cu 0.093 0.093 0.959
Cu2 Cu 0.907 0.907 0.041
```

Calculated values
crystal system: monoclinic
N(E_F): 4.30 states/eV/f.u.
calculated total energy: -29.3 eV per cell

No. 2
Material: Ba2MgW
Method: DFT, GGA-PBE
State: relaxed

```
data_Ba2MgW
_symmetry_space_group_name_H-M 'P 1'
_symmetry_Int_Tables_number 1
_symmetry_space_group_name_Hall 'P 1'
_cell_length_a 5.673
_cell_length_b 5.673
_cell_length_c 5.673
_cell_angle_alpha 119.81
_cell_angle_beta 119.81
_cell_angle_gamma 90.32
loop_
_atom_site_label
_atom_site_type_symbol
_atom_site_fract_x
_atom_site_fract_y
_atom_site_fract_z
Ba1 Ba 0.000 0.000 0.000
Ba2 Ba 0.750 0.250 0.500
Mg1 Mg 0.500 0.500 0.000
W1 W 0.250 0.750 0.500
```

Calculated values
crystal system: tetragonal
N(E_F): 3.98 states/eV/f.u.
calculated total energy: -14.1 eV per cell

No. 3
Material: TbCd2Au
Method: DFT, GGA-PBE
State: relaxed

```
data_TbCd2Au
_symmetry_space_group_name_H-M 'P 1'
_symmetry_Int_Tables_number 1
_symmetry_space_group_name_Hall 'P 1'
_cell_length_a 10.946
_cell_length_b 10.946
_cell_length_c 10.946
_cell_angle_alpha 17.03
_cell_angle_beta 17.03
_cell_angle_gamma 17.03
loop_
_atom_site_label
_atom_site_type_symbol
_atom_site_fract_x
_atom_site_fract_y
_atom_site_fract_z
Tb1 Tb 0.000 0.000 0.000
Cd1 Cd 0.097 0.097 0.097
Cd2 Cd 0.903 0.903 0.903
Au1 Au 0.500 0.500 0.500
```

Calculated values
crystal system: trigonal
N(E_F): 2.21 states/eV/f.u.
calculated total energy: -9.3 eV per cell

No. 4
Material: Be3AgH
Method: DFT, GGA-PBE
State: relaxed

```
data_Be3AgH
_symmetry_space_group_name_H-M 'P 1'
_symmetry_Int_Tables_number 1
_symmetry_space_group_name_Hall 'P 1'
_cell_length_a 3.537
_cell_length_b 3.537
_cell_length_c 3.537
_cell_angle_alpha 90.00
_cell_angle_beta 90.00
_cell_angle_gamma 90.00
loop_
_atom_site_label
_atom_site_type_symbol
_atom_site_fract_x
_atom_site_fract_y
_atom_site_fract_z
Be1 Be 0.000 0.000 0.500
Be2 Be 0.000 0.500 0.000
Be3 Be 0.500 0.000 0.000
Ag1 Ag 0.500 0.500 0.500
H1 H 0.000 0.000 0.000
```

Calculated values
crystal system: cubic
N(E_F): 0.33 states/eV/f.u.
polymorph energy (0 for the lowest one): 0 meV per atom

No. 5
Material: LiMgHgBr2
Method: DFT, GGA-PBE
State: relaxed

```
data_LiMgHgBr2
_symmetry_space_group_name_H-M 'P 1'
_symmetry_Int_Tables_number 1
_symmetry_space_group_name_Hall 'P 1'
_cell_length_a 5.145
_cell_length_b 5.145
_cell_length_c 6.847
_cell_angle_alpha 90.00
_cell_angle_beta 90.00
_cell_angle_gamma 90.00
loop_
_atom_site_label
_atom_site_type_symbol
_atom_site_fract_x
_atom_site_fract_y
_atom_site_fract_z
Li1 Li 0.000 0.000 0.000
Mg1 Mg 0.000 0.000 0.500
Hg1 Hg 0.500 0.500 0.000
Br1 Br 0.000 0.500 0.500
Br2 Br 0.500 0.000 0.500
```

Calculated values
uncorrected formation energy: -0.49 eV/atom
crystal system: tetragonal
N(E_F): 0.24 states/eV/f.u.

No. 6
Material: CsErF4
Method: DFT, GGA-PBE
State: relaxed

```
data_CsErF4
_symmetry_space_group_name_H-M 'P 1'
_symmetry_Int_Tables_number 1
_symmetry_space_group_name_Hall 'P 1'
_cell_length_a 5.934
_cell_length_b 5.934
_cell_length_c 7.206
_cell_angle_alpha 90.00
_cell_angle_beta 90.00
_cell_angle_gamma 90.00
loop_
_atom_site_label
_atom_site_type_symbol
_atom_site_fract_x
_atom_site_fract_y
_atom_site_fract_z
Cs1 Cs 0.000 0.500 0.000
Cs2 Cs 0.500 0.000 0.000
Er1 Er 0.000 0.000 0.500
Er2 Er 0.500 0.500 0.500
F1 F 0.000 0.000 0.204
F2 F 0.000 0.000 0.796
F3 F 0.182 0.318 0.500
F4 F 0.318 0.818 0.500
F5 F 0.500 0.500 0.204
F6 F 0.500 0.500 0.796
F7 F 0.682 0.182 0.500
F8 F 0.818 0.682 0.500
```

Calculated values
uncorrected formation energy: -3.70 eV/atom
crystal system: tetragonal
N(E_F): 0.00 states/eV/f.u.
polymorph energy (0 for the lowest one): 25 meV per atom

No. 7
Material: Tb6YEr3
Method: DFT, GGA-PBE
State: relaxed

```
data_Tb6YEr3
_symmetry_space_group_name_H-M 'P 1'
_symmetry_Int_Tables_number 1
_symmetry_space_group_name_Hall 'P 1'
_cell_length_a 11.531
_cell_length_b 11.531
_cell_length_c 6.356
_cell_angle_alpha 90.00
_cell_angle_beta 90.00
_cell_angle_gamma 130.72
loop_
_atom_site_label
_atom_site_type_symbol
_atom_site_fract_x
_atom_site_fract_y
_atom_site_fract_z
Tb1 Tb 0.015 0.985 0.500
Tb2 Tb 0.105 0.543 0.013
Tb3 Tb 0.259 0.379 0.256
Tb4 Tb 0.302 0.698 0.476
Tb5 Tb 0.379 0.259 0.756
Tb6 Tb 0.457 0.895 0.013
Tb7 Tb 0.543 0.105 0.513
Tb8 Tb 0.621 0.741 0.256
Tb9 Tb 0.698 0.302 0.976
Tb10 Tb 0.741 0.621 0.756
Tb11 Tb 0.895 0.457 0.513
Tb12 Tb 0.985 0.015 0.000
Y1 Y 0.160 0.840 0.699
Y2 Y 0.840 0.160 0.199
Er1 Er 0.043 0.295 0.675
Er2 Er 0.295 0.043 0.175
Er3 Er 0.419 0.581 0.780
Er4 Er 0.581 0.419 0.280
Er5 Er 0.705 0.957 0.675
Er6 Er 0.957 0.705 0.175
```

Calculated values
crystal system: orthorhombic
N(E_F): 16.09 states/eV/f.u.
polymorph energy (0 for the lowest one): 0 meV per atom

No. 8
Material: Ta2FeHg
Method: DFT, GGA-PBE
State: relaxed

```
data_Ta2FeHg
_symmetry_space_group_name_H-M 'P 1'
_symmetry_Int_Tables_number 1
_symmetry_space_group_name_Hall 'P 1'
_cell_length_a 9.229
_cell_length_b 9.229
_cell_length_c 9.229
_cell_angle_alpha 18.58
_cell_angle_beta 18.58
_cell_angle_gamma 18.58
loop_
_atom_site_label
_atom_site_type_symbol
_atom_site_fract_x
_atom_site_fract_y
_atom_site_fract_z
Ta1 Ta 0.239 0.239 0.239
Ta2 Ta 0.761 0.761 0.761
Fe1 Fe 0.500 0.500 0.500
Hg1 Hg 0.000 0.000 0.000
```

Calculated values
crystal system: trigonal
N(E_F): 3.59 states/eV/f.u.
calculated total energy: -31.1 eV per cell

No. 9
Material: ZnCo4Pt
Method: DFT, GGA-PBE
State: relaxed

```
data_ZnCo4Pt
_symmetry_space_group_name_H-M 'P 1'
_symmetry_Int_Tables_number 1
_symmetry_space_group_name_Hall 'P 1'
_cell_length_a 4.736
_cell_length_b 4.736
_cell_length_c 4.736
_cell_angle_alpha 60.00
_cell_angle_beta 60.00
_cell_angle_gamma 60.00
loop_
_atom_site_label
_atom_site_type_symbol
_atom_site_fract_x
_atom_site_fract_y
_atom_site_fract_z
Zn1 Zn 0.000 0.000 0.000
Co1 Co 0.375 0.375 0.375
Co2 Co 0.375 0.375 0.876
Co3 Co 0.375 0.876 0.375
Co4 Co 0.876 0.375 0.375
Pt1 Pt 0.750 0.750 0.750
```

Calculated values
crystal system: cubic
N(E_F): 8.12 states/eV/f.u.
calculated total energy: -35.5 eV per cell

No. 10
Material: CeThBiSb
Method: DFT, GGA-PBE
State: relaxed

```
data_CeThBiSb
_symmetry_space_group_name_H-M 'P 1'
_symmetry_Int_Tables_number 1
_symmetry_space_group_name_Hall 'P 1'
_cell_length_a 5.514
_cell_length_b 5.514
_cell_length_c 5.514
_cell_angle_alpha 60.00
_cell_angle_beta 60.00
_cell_angle_gamma 60.00
loop_
_atom_site_label
_atom_site_type_symbol
_atom_site_fract_x
_atom_site_fract_y
_atom_site_fract_z
Ce1 Ce 0.000 0.000 0.000
Th1 Th 0.500 0.500 0.500
Bi1 Bi 0.250 0.250 0.250
Sb1 Sb 0.750 0.750 0.750
```

Calculated values
uncorrected formation energy: -0.70 eV/atom
crystal system: cubic
N(E_F): 5.14 states/eV/f.u.
polymorph energy (0 for the lowest one): 141 meV per atom

No. 11
Material: Nd6SmDy2Ho3
Method: DFT, GGA-PBE
State: relaxed

```
data_Nd6SmDy2Ho3
_symmetry_space_group_name_H-M 'P 1'
_symmetry_Int_Tables_number 1
_symmetry_space_group_name_Hall 'P 1'
_cell_length_a 6.327
_cell_length_b 6.327
_cell_length_c 11.434
_cell_angle_alpha 95.30
_cell_angle_beta 95.30
_cell_angle_gamma 119.97
loop_
_atom_site_label
_atom_site_type_symbol
_atom_site_fract_x
_atom_site_fract_y
_atom_site_fract_z
Nd1 Nd 0.082 0.416 0.248
Nd2 Nd 0.250 0.250 0.751
Nd3 Nd 0.416 0.082 0.248
Nd4 Nd 0.584 0.918 0.752
Nd5 Nd 0.750 0.750 0.249
Nd6 Nd 0.918 0.584 0.752
Sm1 Sm 0.500 0.500 0.500
Dy1 Dy 0.167 0.833 0.500
Dy2 Dy 0.833 0.167 0.500
Ho1 Ho 0.000 0.000 0.000
Ho2 Ho 0.333 0.667 0.000
Ho3 Ho 0.667 0.333 0.000
```

Calculated values
crystal system: monoclinic
N(E_F): 12.09 states/eV/f.u.
calculated total energy: -56.0 eV per cell

Question: Which value of N(E_F) does entry 5 give?
Answer: 0.24 states/eV/f.u.